! TeAu2Cl, optimized geometry, DFT PBE-GGA; values from VASP
&SYSTEM
  ibrav = 0, nat = 4, ntyp = 3
/
ATOMIC_SPECIES
Au 196.97 Au.upf
Te 127.60 Te.upf
Cl 35.45 Cl.upf
CELL_PARAMETERS angstrom
-1.2454 -6.2751 1.6133
-0.6368 2.0250 -5.4927
2.5756 -1.7655 0.3023
ATOMIC_POSITIONS crystal
Au 0.0000 0.5000 0.5000
Au 0.0000 0.0000 0.0000
Te 0.5000 0.0000 0.5000
Cl 0.5000 0.5000 0.0000
! Fermi-level density of states = 1.22 states/eV per cell
! Total moment = 0.000 μB/atom
! Mass density = 10.02 Mg/m³
! SG = C2/m
! Formation energy without anion corrections = 18 kJ per mole of atoms
! Uncorrected energy = -2.702 eV per atom
! Polymorph energy (0 for the lowest one) = 23.9 kJ per mole of atoms